A plane-wave DFT calculation with GGA-PBE was carried out for Zr2NpPb after structural relaxation.

M_tot = 4.20 μB/f.u.
Formation energy = 196 meV/atom

Cell lengths 3.3309, 3.3309, 10.3357 Å; angles 80.73, 80.73, 60.00 degrees
Last column: nearest neighbours and their distance in Å.
Element x y z (fractional)
Zr: 0.2509 0.2509 0.2473  3 Np 3.16, 3 Pb 3.21, 6 Zr 3.33
Zr: 0.7491 0.7491 0.7527  3 Np 3.16, 3 Pb 3.21, 6 Zr 3.33
Pb: 0.5000 0.5000 0.5000  6 Zr 3.21, 6 Pb 3.33
Np: 0.0000 0.0000 0.0000  6 Zr 3.16, 6 Np 3.33